1.
First-principles (PBE-GGA) data for a relaxed structure of Ce2PrCu6, as listed in Alexandria. Values from VASP.

Symmetry   P6/mmm, No. 191
Calculated volume   19.47 Å³ per atom
Density   7.6 Mg/m³
Total energy   -42.59 eV per formula unit

Structure (Quantum ESPRESSO input):
```
&SYSTEM
  ibrav = 0, nat = 9, ntyp = 3
/
ATOMIC_SPECIES
Cu 63.55 Cu.upf
Pr 140.91 Pr.upf
Ce 140.12 Ce.upf
CELL_PARAMETERS angstrom
-3.424 -0.233 -1.082
2.281 -0.370 -7.135
-0.836 -6.288 4.000
ATOMIC_POSITIONS angstrom
Cu -1.992 -2.224 0.800
Cu -2.268 -4.297 2.118
Cu -0.752 -4.543 -2.625
Cu -0.947 -0.241 -2.933
Cu -1.228 -2.348 -1.592
Cu -1.032 -6.651 -1.284
Pr 0.000 0.000 0.000
Ce -2.182 -2.576 -4.505
Ce 0.203 -4.315 0.289
```

2.
First-principles (PBE-GGA) data for a relaxed structure of CePr2Cu, as listed in Alexandria. Values from VASP.

Symmetry   P4/mmm, No. 123
Calculated volume   27.86 Å³ per atom
Density   7.2 Mg/m³
Total energy   -19.57 eV per formula unit
Energy relative to the lowest polymorph listed for this composition   0 meV per atom

Structure (Quantum ESPRESSO input):
```
&SYSTEM
  ibrav = 0, nat = 4, ntyp = 3
/
ATOMIC_SPECIES
Pr 140.91 Pr.upf
Ce 140.12 Ce.upf
Cu 63.55 Cu.upf
CELL_PARAMETERS angstrom
-2.421 -2.573 -0.824
2.697 -2.368 -0.530
-0.379 -2.256 8.154
ATOMIC_POSITIONS angstrom
Pr -0.080 -0.476 1.720
Pr -0.299 -1.780 6.434
Ce -0.051 -3.598 3.400
Cu 0.138 -2.470 -0.677
```